[1]
Entry from Alexandria via LeMat-Bulk: crystalline SrPr2AgS4 at its relaxed geometry (GGA-PBE).

The structure belongs to space group Cmcm (No. 63); the cell edges are 4.0862, 13.7483 and 14.2761 Å and the angles 90.00°, 90.00° and 90.00°. The distinct sites, in fractional coordinates, are Sr at (0.0000, 0.1232, 0.2500), Pr at (0.0000, 0.3727, 0.0598), Ag at (0.0000, 0.1485, 0.7500), S at (0.0000, 0.0000, 0.0000), S at (0.0000, 0.2752, 0.6183) and S at (0.0000, 0.4609, 0.2500).

The energy relative to the elements, uncorrected is -1.674 eV per atom. The total energy is -5.500 eV per atom. Its crystal system is orthorhombic.

=====

[2]
Entry from Alexandria via LeMat-Bulk: crystalline PrGa3Ni3 at its relaxed geometry (GGA-PBE).

The structure belongs to space group Pm-3n (No. 223); the cell edges are 6.4615, 6.4615 and 6.4615 Å and the angles 90.00°, 90.00° and 90.00°. The distinct sites, in fractional coordinates, are Pr at (0.0000, 0.0000, 0.0000), Ga at (0.0000, 0.2500, 0.5000) and Ni at (0.0000, 0.5000, 0.2500).

The value obtained for the energy above the lowest structure with this stoichiometry is 155 meV per atom. The total energy is -4.589 eV per atom. Its crystal system is cubic. The formation enthalpy at 0 K comes out at -131 meV/atom.

=====

[3]
Entry from Alexandria via LeMat-Bulk: crystalline YNiPt2 at its relaxed geometry (GGA-PBE).

The structure belongs to space group P4mm (No. 99); the cell edges are 3.4783, 3.4783 and 5.8390 Å and the angles 90.00°, 90.00° and 90.00°. The distinct sites, in fractional coordinates, are Y at (0.0000, 0.0000, 0.0000), Ni at (0.5000, 0.5000, 0.3069), Pt at (0.0000, 0.0000, 0.4709) and Pt at (0.5000, 0.5000, 0.7460).

The total energy is -6.574 eV per atom. Its crystal system is tetragonal. The formation enthalpy at 0 K comes out at -493 meV/atom.